Entry from the Alexandria database: a relaxed PmPu3S6 crystal (PBE).

Cell lengths 10.9050, 4.0091, 11.4768 Å; angles 90.00, 107.49, 90.00 degrees
Fractional coordinates of all 20 atoms:
Pm (0.0481, 0.2500, 0.1930)
Pm (0.9519, 0.7500, 0.8070)
Pu (0.1594, 0.2500, 0.5828)
Pu (0.3184, 0.7500, 0.9985)
Pu (0.4377, 0.2500, 0.3345)
Pu (0.5623, 0.7500, 0.6655)
Pu (0.6816, 0.2500, 0.0015)
Pu (0.8406, 0.7500, 0.4172)
S (0.0855, 0.7500, 0.4058)
S (0.1162, 0.2500, 0.9603)
S (0.1927, 0.7500, 0.7447)
S (0.2610, 0.7500, 0.2269)
S (0.3990, 0.2500, 0.5589)
S (0.4802, 0.2500, 0.1116)
S (0.5198, 0.7500, 0.8884)
S (0.6010, 0.7500, 0.4411)
S (0.7390, 0.2500, 0.7731)
S (0.8073, 0.2500, 0.2553)
S (0.8838, 0.7500, 0.0397)
S (0.9145, 0.2500, 0.5942)

Summary:
Final energy ... -179.8 eV per cell
Density ... 7.4 Mg/m³
SG ... P2_1/m, No. 11
Crystal system ... monoclinic